Record 1
An optimized crystal structure of LaInMo. Source: the Alexandria database, functional PBE.

Lattice parameters (Å, degrees): 5.139 5.499 6.045 75.29 66.29 75.54
Space group P-1 (No. 2)
Asymmetric unit:
La: 0.162 0.240 0.355 (multiplicity 2)
In: 0.412 0.333 0.752 (multiplicity 2)
Mo: 0.198 0.851 0.970 (multiplicity 2)


Record 2
An optimized crystal structure of La2InMo. Source: the Alexandria database, functional PBE.

Lattice parameters (Å, degrees): 6.254 3.465 10.281 90.00 94.98 90.00
Space group C2/m (No. 12)
Asymmetric unit:
La: 0.230 0.000 0.284 (multiplicity 4)
In: 0.000 0.500 0.000 (multiplicity 2)
Mo: 0.000 0.000 0.500 (multiplicity 2)


Record 3
An optimized crystal structure of LaIn2Mo. Source: the Alexandria database, functional PBE.

Lattice parameters (Å, degrees): 3.112 4.351 6.922 90.00 90.00 90.00
Space group Pmmm (No. 47)
Asymmetric unit:
La: 0.000 0.000 0.000 (multiplicity 1)
In: 0.500 0.500 0.294 (multiplicity 2)
Mo: 0.000 0.000 0.500 (multiplicity 1)


Record 4
An optimized crystal structure of LaIn2Mo. Source: the Alexandria database, functional PBE.

Lattice parameters (Å, degrees): 7.215 7.215 7.215 90.00 90.00 90.00
Space group F-43m (No. 216)
Asymmetric unit:
La: 0.000 0.000 0.000 (multiplicity 4)
In: 0.000 0.000 0.500 (multiplicity 4)
In: 0.250 0.250 0.750 (multiplicity 4)
Mo: 0.250 0.250 0.250 (multiplicity 4)


Record 5
An optimized crystal structure of LaIn3Mo. Source: the Alexandria database, functional PBE.

Lattice parameters (Å, degrees): 5.954 5.954 5.954 90.00 90.00 90.00
Space group Pm-3m (No. 221)
Asymmetric unit:
La: 0.000 0.000 0.000 (multiplicity 1)
In: 0.000 0.000 0.500 (multiplicity 3)
Mo: 0.500 0.500 0.500 (multiplicity 1)


Record 6
An optimized crystal structure of LaInMo. Source: the Alexandria database, functional PBE.

Lattice parameters (Å, degrees): 6.777 6.777 6.777 90.00 90.00 90.00
Space group F-43m (No. 216)
Asymmetric unit:
La: 0.000 0.000 0.000 (multiplicity 4)
In: 0.000 0.000 0.500 (multiplicity 4)
Mo: 0.250 0.250 0.250 (multiplicity 4)


Record 7
An optimized crystal structure of LaIn3Mo. Source: the Alexandria database, functional PBE.

Lattice parameters (Å, degrees): 5.236 5.236 5.236 90.00 90.00 90.00
Space group Pm-3m (No. 221)
Asymmetric unit:
La: 0.000 0.000 0.000 (multiplicity 1)
In: 0.000 0.500 0.500 (multiplicity 3)
Mo: 0.500 0.500 0.500 (multiplicity 1)


Record 8
An optimized crystal structure of LaIn2Mo. Source: the Alexandria database, functional PBE.

Lattice parameters (Å, degrees): 10.240 3.207 5.997 90.00 100.84 90.00
Space group C2/m (No. 12)
Asymmetric unit:
La: 0.000 0.000 0.000 (multiplicity 2)
In: 0.233 0.000 0.704 (multiplicity 4)
Mo: 0.000 0.500 0.500 (multiplicity 2)


Record 9
An optimized crystal structure of LaInMo. Source: the Alexandria database, functional PBE.

Lattice parameters (Å, degrees): 5.1645 5.1645 3.0974 90.00 90.00 120.00
Space group P3m1 (No. 156)
Asymmetric unit:
La: 0.0000 0.0000 0.0000 (multiplicity 1)
In: 0.6667 0.3333 0.4982 (multiplicity 1)
Mo: 0.3333 0.6667 0.5033 (multiplicity 1)


Record 10
An optimized crystal structure of La2InMo. Source: the Alexandria database, functional PBE.

Lattice parameters (Å, degrees): 8.498 8.498 6.121 90.00 90.00 90.00
Space group I-42d (No. 122)
Asymmetric unit:
La: 0.189 0.250 0.125 (multiplicity 8)
In: 0.000 0.000 0.500 (multiplicity 4)
Mo: 0.000 0.000 0.000 (multiplicity 4)


Record 11
An optimized crystal structure of LaIn2Mo. Source: the Alexandria database, functional PBE.

Lattice parameters (Å, degrees): 3.826 5.236 9.666 90.00 90.00 90.00
Space group Cmm2 (No. 35)
Asymmetric unit:
La: 0.000 0.000 0.000 (multiplicity 2)
In: 0.000 0.000 0.557 (multiplicity 2)
In: 0.000 0.500 0.301 (multiplicity 2)
Mo: 0.000 0.500 0.767 (multiplicity 2)


Record 12
An optimized crystal structure of LaIn2Mo. Source: the Alexandria database, functional PBE.

Lattice parameters (Å, degrees): 3.342 3.342 8.380 90.00 90.00 90.00
Space group P4/mmm (No. 123)
Asymmetric unit:
La: 0.000 0.000 0.000 (multiplicity 1)
In: 0.500 0.500 0.294 (multiplicity 2)
Mo: 0.000 0.000 0.500 (multiplicity 1)


Record 13
An optimized crystal structure of LaIn2Mo. Source: the Alexandria database, functional PBE.

Lattice parameters (Å, degrees): 3.479 3.777 7.607 90.00 90.00 90.00
Space group Pmm2 (No. 25)
Asymmetric unit:
La: 0.000 0.000 0.000 (multiplicity 1)
In: 0.000 0.000 0.422 (multiplicity 1)
In: 0.500 0.500 0.667 (multiplicity 1)
Mo: 0.500 0.500 0.258 (multiplicity 1)


Record 14
An optimized crystal structure of La2InMo. Source: the Alexandria database, functional PBE.

Lattice parameters (Å, degrees): 3.893 5.051 5.467 90.00 90.00 90.00
Space group Pmm2 (No. 25)
Asymmetric unit:
La: 0.000 0.000 0.000 (multiplicity 1)
La: 0.000 0.500 0.430 (multiplicity 1)
In: 0.500 0.000 0.539 (multiplicity 1)
Mo: 0.500 0.500 0.864 (multiplicity 1)


| no. | calculated formation energy (eV per atom) |
| --- | --- |
| 1 | 0.105 |
| 2 | 0.300 |
| 3 | 0.093 |
| 4 | 0.389 |
| 5 | 1.543 |
| 6 | 0.552 |
| 7 | 0.088 |
| 8 | 0.175 |
| 9 | 0.404 |
| 10 | 0.347 |
| 11 | 0.292 |
| 12 | 0.089 |
| 13 | 0.224 |
| 14 | 0.153 |